# GGA-PBE Li2NiIr, optimized geometry
data_Li2NiIr
_space_group_name_H-M_alt 'P 1'
_space_group_IT_number 1
_cell_length_a 5.847
_cell_length_b 5.847
_cell_length_c 5.847
_cell_angle_alpha 90.00
_cell_angle_beta 90.00
_cell_angle_gamma 90.00
loop_
_space_group_symop_operation_xyz
'x,y,z'
loop_
_atom_site_label
_atom_site_type_symbol
_atom_site_fract_x
_atom_site_fract_y
_atom_site_fract_z
Li1 Li 0.000 0.000 0.000
Li2 Li 0.000 0.500 0.500
Li3 Li 0.250 0.250 0.250
Li4 Li 0.250 0.750 0.750
Li5 Li 0.500 0.000 0.500
Li6 Li 0.500 0.500 0.000
Li7 Li 0.750 0.250 0.750
Li8 Li 0.750 0.750 0.250
Ni1 Ni 0.000 0.000 0.500
Ni2 Ni 0.000 0.500 0.000
Ni3 Ni 0.500 0.000 0.000
Ni4 Ni 0.500 0.500 0.500
Ir1 Ir 0.250 0.250 0.750
Ir2 Ir 0.250 0.750 0.250
Ir3 Ir 0.750 0.250 0.250
Ir4 Ir 0.750 0.750 0.750
# Total magnetic moment in μB/f.u.: 1.650
# Energy relative to the lowest polymorph listed for this composition in meV/atom: 175
# VASP energy in eV/atom: -4.62

# GGA-PBE Li3NiIr, optimized geometry
data_Li3NiIr
_space_group_name_H-M_alt 'P 1'
_space_group_IT_number 1
_cell_length_a 8.036
_cell_length_b 8.036
_cell_length_c 4.570
_cell_angle_alpha 90.00
_cell_angle_beta 90.00
_cell_angle_gamma 120.00
loop_
_space_group_symop_operation_xyz
'x,y,z'
loop_
_atom_site_label
_atom_site_type_symbol
_atom_site_fract_x
_atom_site_fract_y
_atom_site_fract_z
Li1 Li 0.000 0.500 0.000
Li2 Li 0.167 0.333 0.333
Li3 Li 0.167 0.833 0.333
Li4 Li 0.333 0.167 0.667
Li5 Li 0.500 0.000 0.000
Li6 Li 0.500 0.500 0.000
Li7 Li 0.667 0.833 0.333
Li8 Li 0.833 0.167 0.667
Li9 Li 0.833 0.667 0.667
Ni1 Ni 0.000 0.000 0.500
Ni2 Ni 0.333 0.667 0.167
Ni3 Ni 0.667 0.333 0.833
Ir1 Ir 0.000 0.000 0.000
Ir2 Ir 0.333 0.667 0.667
Ir3 Ir 0.667 0.333 0.333
# Total magnetic moment in μB/f.u.: 0.045
# Energy relative to the lowest polymorph listed for this composition in meV/atom: 0
# VASP energy in eV/atom: -3.77

# GGA-PBE LiNpNiIr, optimized geometry
data_LiNpNiIr
_space_group_name_H-M_alt 'P 1'
_space_group_IT_number 1
_cell_length_a 6.381
_cell_length_b 6.381
_cell_length_c 6.381
_cell_angle_alpha 90.00
_cell_angle_beta 90.00
_cell_angle_gamma 90.00
loop_
_space_group_symop_operation_xyz
'x,y,z'
loop_
_atom_site_label
_atom_site_type_symbol
_atom_site_fract_x
_atom_site_fract_y
_atom_site_fract_z
Li1 Li 0.000 0.000 0.000
Li2 Li 0.000 0.500 0.500
Li3 Li 0.500 0.000 0.500
Li4 Li 0.500 0.500 0.000
Np1 Np 0.000 0.000 0.500
Np2 Np 0.000 0.500 0.000
Np3 Np 0.500 0.000 0.000
Np4 Np 0.500 0.500 0.500
Ni1 Ni 0.250 0.250 0.250
Ni2 Ni 0.250 0.750 0.750
Ni3 Ni 0.750 0.250 0.750
Ni4 Ni 0.750 0.750 0.250
Ir1 Ir 0.250 0.250 0.750
Ir2 Ir 0.250 0.750 0.250
Ir3 Ir 0.750 0.250 0.250
Ir4 Ir 0.750 0.750 0.750
# Total magnetic moment in μB/f.u.: 2.977
# VASP energy in eV/atom: -7.48